No. 1
This record from Alexandria describes a relaxed Rb3PmGa2O6 crystal. The functional is PBE.

Unit cell a=6.2750 b=6.2750 c=7.4954 alpha=90.00 beta=90.00 gamma=120.00
Closest atoms and distances in Å follow each position.
Space group P-3m1 (No. 164)
Symmetry-distinct sites (fractional):
Rb (0.0000, 0.0000, 0.0000) (multiplicity 1)  6 O 2.90
Rb (0.3333, 0.6667, 0.7478) (multiplicity 2)  6 O 3.16, 1 Ga 3.36
Pm (0.0000, 0.0000, 0.5000) (multiplicity 1)  6 O 2.37
Ga (0.3333, 0.6667, 0.2995) (multiplicity 2)  3 O 1.79
O (0.1688, 0.3376, 0.3000) (multiplicity 6)  1 Ga 1.79

Computed properties:
Calculated total energy: -5.581 eV/atom
Uncorrected formation energy: -2269 kJ/mol of formula units

---

No. 2
This record from Alexandria describes a relaxed PmGa2ReO8 crystal. The functional is PBE.

Unit cell a=4.8188 b=4.8221 c=6.7048 alpha=83.69 beta=83.67 gamma=83.25
Closest atoms and distances in Å follow each position.
Space group P-1 (No. 2)
Symmetry-distinct sites (fractional):
Pm (0.0000, 0.0000, 0.0000) (multiplicity 1)  6 O 2.33-2.36
Ga (0.4545, 0.4549, 0.2184) (multiplicity 2)  5 O 1.92-1.99
Re (0.0000, 0.0000, 0.5000) (multiplicity 1)  6 O 1.86-1.91
O (0.2022, 0.7913, 0.2934) (multiplicity 2)  1 Re 1.91, 1 Ga 1.99
O (0.2105, 0.7997, 0.7063) (multiplicity 2)  1 Re 1.91, 1 Ga 1.99
O (0.2599, 0.2622, 0.4505) (multiplicity 2)  1 Re 1.86, 1 Ga 1.93
O (0.3235, 0.3252, 0.9889) (multiplicity 2)  2 Ga 1.92-1.95

Computed properties:
Calculated total energy: -7.192 eV/atom
Uncorrected formation energy: -2256 kJ/mol of formula units

---

Repeat the second record exactly.
This record from Alexandria describes a relaxed PmGa2ReO8 crystal. The functional is PBE.

Unit cell a=4.8188 b=4.8221 c=6.7048 alpha=83.69 beta=83.67 gamma=83.25
Closest atoms and distances in Å follow each position.
Space group P-1 (No. 2)
Symmetry-distinct sites (fractional):
Pm (0.0000, 0.0000, 0.0000) (multiplicity 1)  6 O 2.33-2.36
Ga (0.4545, 0.4549, 0.2184) (multiplicity 2)  5 O 1.92-1.99
Re (0.0000, 0.0000, 0.5000) (multiplicity 1)  6 O 1.86-1.91
O (0.2022, 0.7913, 0.2934) (multiplicity 2)  1 Re 1.91, 1 Ga 1.99
O (0.2105, 0.7997, 0.7063) (multiplicity 2)  1 Re 1.91, 1 Ga 1.99
O (0.2599, 0.2622, 0.4505) (multiplicity 2)  1 Re 1.86, 1 Ga 1.93
O (0.3235, 0.3252, 0.9889) (multiplicity 2)  2 Ga 1.92-1.95

Computed properties:
Calculated total energy: -7.192 eV/atom
Uncorrected formation energy: -2256 kJ/mol of formula units

---

Question: uncorrected formation energy of number 1 (Rb3PmGa2O6)?
Answer: -2269 kJ/mol of formula units